[1]
CsIrS2O8 | GGA-PBE | optimized geometry

Geometry as POSCAR:
```
CsIrS2O8
1.0
2.429 1.402 9.159
-2.429 1.402 9.159
0.000 -2.804 9.159
Cs Ir S O
1 1 2 8
Direct
0.000 0.000 0.000 Cs
0.500 0.500 0.500 Ir
0.229 0.229 0.229 S
0.771 0.771 0.771 S
0.093 0.765 0.506 O
0.235 0.494 0.907 O
0.283 0.283 0.283 O
0.494 0.907 0.235 O
0.506 0.093 0.765 O
0.717 0.717 0.717 O
0.765 0.506 0.093 O
0.907 0.235 0.494 O
```

Calculated values
D(E_F): 0.0 states/eV/f.u.
Magnetic moment: 0.00 μB/f.u.

***

[2]
Cs2ScIr3O12 | GGA-PBE | optimized geometry

Geometry as POSCAR:
```
Cs2ScIr3O12
1.0
3.644 2.104 6.181
-3.644 2.104 6.181
0.000 -4.208 6.181
Cs Sc Ir O
2 1 3 12
Direct
0.121 0.121 0.121 Cs
0.879 0.879 0.879 Cs
0.500 0.500 0.500 Sc
0.000 0.500 0.500 Ir
0.500 0.000 0.500 Ir
0.500 0.500 0.000 Ir
0.168 0.565 0.565 O
0.184 0.184 0.577 O
0.184 0.577 0.184 O
0.423 0.816 0.816 O
0.435 0.435 0.832 O
0.435 0.832 0.435 O
0.565 0.168 0.565 O
0.565 0.565 0.168 O
0.577 0.184 0.184 O
0.816 0.423 0.816 O
0.816 0.816 0.423 O
0.832 0.435 0.435 O
```

Calculated values
D(E_F): 11.5 states/eV/f.u.
Magnetic moment: 4.36 μB/f.u.

***

[3]
Cs2ScIrO6 | GGA-PBE | optimized geometry

Geometry as POSCAR:
```
Cs2ScIrO6
1.0
6.569 0.000 0.000
-3.285 5.689 0.000
0.000 0.000 5.420
Cs Sc Ir O
2 1 1 6
Direct
0.333 0.667 0.302 Cs
0.667 0.333 0.698 Cs
0.000 0.000 0.000 Sc
0.000 0.000 0.500 Ir
0.133 0.266 0.722 O
0.133 0.867 0.722 O
0.266 0.133 0.278 O
0.734 0.867 0.722 O
0.867 0.133 0.278 O
0.867 0.734 0.278 O
```

Calculated values
D(E_F): 7.3 states/eV/f.u.
Magnetic moment: 1.97 μB/f.u.

***

[4]
CsScIr2O8 | GGA-PBE | optimized geometry

Geometry as POSCAR:
```
CsScIr2O8
1.0
5.685 0.000 0.000
-2.843 4.923 0.000
0.000 0.000 8.723
Cs Sc Ir O
1 1 2 8
Direct
0.000 0.000 0.000 Cs
0.000 0.000 0.500 Sc
0.333 0.667 0.718 Ir
0.667 0.333 0.282 Ir
0.086 0.330 0.644 O
0.244 0.914 0.644 O
0.330 0.244 0.356 O
0.333 0.667 0.923 O
0.667 0.333 0.077 O
0.670 0.756 0.644 O
0.756 0.086 0.356 O
0.914 0.670 0.356 O
```

Calculated values
D(E_F): 6.5 states/eV/f.u.
Magnetic moment: 2.11 μB/f.u.

***

[5]
CsIrSe2O8 | GGA-PBE | optimized geometry

Geometry as POSCAR:
```
CsIrSe2O8
1.0
2.544 1.469 9.252
-2.544 1.469 9.252
0.000 -2.937 9.252
Cs Ir Se O
1 1 2 8
Direct
0.000 0.000 0.000 Cs
0.500 0.500 0.500 Ir
0.228 0.228 0.228 Se
0.772 0.772 0.772 Se
0.128 0.474 0.766 O
0.234 0.872 0.526 O
0.288 0.288 0.288 O
0.474 0.766 0.128 O
0.526 0.234 0.872 O
0.712 0.712 0.712 O
0.766 0.128 0.474 O
0.872 0.526 0.234 O
```

Calculated values
Magnetic moment: 0.00 μB/f.u.

***

[6]
CsSmIrO6 | GGA-PBE | optimized geometry

Geometry as POSCAR:
```
CsSmIrO6
1.0
5.763 0.000 0.000
-2.882 4.991 0.000
0.000 0.000 6.531
Cs Sm Ir O
1 1 1 6
Direct
0.000 0.000 0.000 Cs
0.333 0.667 0.500 Sm
0.667 0.333 0.500 Ir
0.411 0.053 0.668 O
0.411 0.358 0.332 O
0.642 0.053 0.332 O
0.642 0.589 0.668 O
0.947 0.358 0.668 O
0.947 0.589 0.332 O
```

Calculated values
D(E_F): 5.6 states/eV/f.u.
Magnetic moment: 0.80 μB/f.u.

***

[7]
Cs2Sr2IrO6 | GGA-PBE | optimized geometry

Geometry as POSCAR:
```
Cs2Sr2IrO6
1.0
3.110 -5.249 0.000
3.110 5.249 0.000
-1.861 0.000 6.897
Cs Sr Ir O
2 2 1 6
Direct
0.167 0.833 0.000 Cs
0.833 0.167 0.000 Cs
0.337 0.663 0.500 Sr
0.663 0.337 0.500 Sr
0.000 0.000 0.500 Ir
0.047 0.320 0.659 O
0.214 0.214 0.334 O
0.320 0.047 0.659 O
0.680 0.953 0.341 O
0.786 0.786 0.666 O
0.953 0.680 0.341 O
```

Calculated values
D(E_F): 0.2 states/eV/f.u.
Magnetic moment: 3.01 μB/f.u.

***

[8]
Cs2SrIrO6 | GGA-PBE | optimized geometry

Geometry as POSCAR:
```
Cs2SrIrO6
1.0
0.000 4.431 4.431
4.431 0.000 4.431
4.431 4.431 0.000
Cs Sr Ir O
2 1 1 6
Direct
0.250 0.250 0.250 Cs
0.750 0.750 0.750 Cs
0.000 0.000 0.000 Sr
0.500 0.500 0.500 Ir
0.285 0.285 0.715 O
0.285 0.715 0.285 O
0.285 0.715 0.715 O
0.715 0.285 0.285 O
0.715 0.285 0.715 O
0.715 0.715 0.285 O
```

Calculated values
D(E_F): 5.2 states/eV/f.u.
Magnetic moment: 0.00 μB/f.u.

***

[9]
Cs2SrIrO4 | GGA-PBE | optimized geometry

Geometry as POSCAR:
```
Cs2SrIrO4
1.0
0.000 7.269 12.041
3.287 0.000 12.041
3.287 7.269 0.000
Cs Sr Ir O
4 2 2 8
Direct
0.060 0.060 0.690 Cs
0.310 0.310 0.940 Cs
0.690 0.690 0.060 Cs
0.940 0.940 0.310 Cs
0.125 0.125 0.125 Sr
0.875 0.875 0.875 Sr
0.375 0.375 0.375 Ir
0.625 0.625 0.625 Ir
0.073 0.676 0.487 O
0.264 0.487 0.676 O
0.324 0.927 0.736 O
0.487 0.264 0.073 O
0.513 0.736 0.927 O
0.676 0.073 0.264 O
0.736 0.513 0.324 O
0.927 0.324 0.513 O
```

Calculated values
D(E_F): 0.5 states/eV/f.u.
Magnetic moment: 3.02 μB/f.u.

***

[10]
CsTaIrO6 | GGA-PBE | optimized geometry

Geometry as POSCAR:
```
CsTaIrO6
1.0
-3.656 3.733 5.252
3.656 -3.733 5.252
3.656 3.733 -5.252
Cs Ta Ir O
2 2 2 12
Direct
0.378 0.128 0.250 Cs
0.622 0.872 0.750 Cs
0.000 0.500 0.500 Ta
0.500 0.500 0.000 Ta
0.000 0.000 0.500 Ir
0.000 0.500 0.000 Ir
0.061 0.437 0.243 O
0.061 0.817 0.624 O
0.067 0.817 0.250 O
0.306 0.183 0.743 O
0.306 0.563 0.124 O
0.313 0.563 0.750 O
0.687 0.437 0.250 O
0.694 0.437 0.876 O
0.694 0.817 0.257 O
0.933 0.183 0.750 O
0.939 0.183 0.376 O
0.939 0.563 0.757 O
```

Calculated values
D(E_F): 3.5 states/eV/f.u.
Magnetic moment: 2.68 μB/f.u.

***

Number 1: uncorrected formation energy -1.27 eV per atom. Number 2: uncorrected formation energy -1.21 eV per atom. Number 3: uncorrected formation energy -1.56 eV per atom. Number 4: uncorrected formation energy -1.15 eV per atom. Number 5: uncorrected formation energy -0.80 eV per atom. Number 6: uncorrected formation energy -1.43 eV per atom. Number 7: uncorrected formation energy -1.68 eV per atom. Number 8: uncorrected formation energy -1.38 eV per atom. Number 9: uncorrected formation energy -1.29 eV per atom. Number 10: uncorrected formation energy -1.73 eV per atom.